No. 1
# PBE-GGA CsZrTe2F, optimized geometry
data_CsZrTe2F
_chemical_formula_sum 'Cs1 Zr1 Te2 F1'
_cell_length_a 5.858
_cell_length_b 5.858
_cell_length_c 4.406
_cell_angle_alpha 90.00
_cell_angle_beta 90.00
_cell_angle_gamma 90.00
_symmetry_space_group_name_H-M 'P 1'
_symmetry_Int_Tables_number 1
loop_
_symmetry_equiv_pos_as_xyz
'x,y,z'
loop_
_atom_site_label
_atom_site_type_symbol
_atom_site_fract_x
_atom_site_fract_y
_atom_site_fract_z
_atom_site_occupancy
Te1 Te 0.500 0.000 0.000 1
Te2 Te 0.000 0.500 0.000 1
Zr1 Zr 0.000 0.000 0.000 1
Cs1 Cs 0.500 0.500 0.500 1
F1 F 0.000 0.000 0.500 1
# Uncorrected energy = -5.0337 eV/atom

---

No. 2
# PBE-GGA Tm2MgFeC, optimized geometry
data_Tm2MgFeC
_chemical_formula_sum 'Tm2 Mg1 Fe1 C1'
_cell_length_a 3.714
_cell_length_b 4.944
_cell_length_c 4.944
_cell_angle_alpha 90.00
_cell_angle_beta 90.00
_cell_angle_gamma 90.00
_symmetry_space_group_name_H-M 'P 1'
_symmetry_Int_Tables_number 1
loop_
_symmetry_equiv_pos_as_xyz
'x,y,z'
loop_
_atom_site_label
_atom_site_type_symbol
_atom_site_fract_x
_atom_site_fract_y
_atom_site_fract_z
_atom_site_occupancy
Tm1 Tm 0.000 0.000 0.500 1
Tm2 Tm 0.000 0.500 0.000 1
C1 C 0.000 0.000 0.000 1
Mg1 Mg 0.500 0.500 0.500 1
Fe1 Fe 0.500 0.000 0.000 1
# DFT formation energy = -1.1 eV per formula unit

---

No. 3
# PBE-GGA HfBeReC2, optimized geometry
data_HfBeReC2
_chemical_formula_sum 'Hf1 Be1 Re1 C2'
_cell_length_a 3.709
_cell_length_b 4.513
_cell_length_c 3.709
_cell_angle_alpha 90.00
_cell_angle_beta 90.00
_cell_angle_gamma 90.00
_symmetry_space_group_name_H-M 'P 1'
_symmetry_Int_Tables_number 1
loop_
_symmetry_equiv_pos_as_xyz
'x,y,z'
loop_
_atom_site_label
_atom_site_type_symbol
_atom_site_fract_x
_atom_site_fract_y
_atom_site_fract_z
_atom_site_occupancy
Be1 Be 0.000 0.000 0.000 1
Re1 Re 0.500 0.500 0.500 1
Hf1 Hf 0.000 0.500 0.000 1
C1 C 0.000 0.000 0.500 1
C2 C 0.500 0.000 0.000 1
# DFT formation energy = 10.0 eV per formula unit